[1]
! Ba2SrAgPt (PBE, relaxed); values from VASP
&SYSTEM
  ibrav = 0, nat = 5, ntyp = 4
/
ATOMIC_SPECIES
Ba 137.33 Ba.upf
Sr 87.62 Sr.upf
Ag 107.87 Ag.upf
Pt 195.08 Pt.upf
ATOMIC_POSITIONS angstrom
Ba 0.000 3.072 0.000
Ba 3.072 0.000 0.000
Sr 0.000 0.000 2.936
Ag 3.072 3.072 2.936
Pt 0.000 0.000 0.000
CELL_PARAMETERS angstrom
6.145 0.000 0.000
0.000 6.145 0.000
0.000 0.000 5.872
! Formation energy from the elements in eV/f.u.: -1.70
! SG: P4/mmm, No. 123

[2]
! YZn6Fe6 (PBE, relaxed); values from VASP
&SYSTEM
  ibrav = 0, nat = 13, ntyp = 3
/
ATOMIC_SPECIES
Y 88.91 Y.upf
Zn 65.41 Zn.upf
Fe 55.84 Fe.upf
ATOMIC_POSITIONS angstrom
Y 0.000 0.000 0.000
Zn 2.469 1.762 0.000
Zn 0.000 0.000 2.955
Zn 0.000 3.003 0.000
Zn 0.000 5.575 0.000
Zn 0.000 0.000 5.726
Zn 0.000 2.527 4.340
Fe 1.234 2.144 -2.170
Fe 1.234 -2.144 2.170
Fe 2.469 0.000 1.985
Fe -1.234 2.144 2.170
Fe 1.234 2.144 2.170
Fe 0.000 4.289 2.355
CELL_PARAMETERS angstrom
-2.469 4.289 4.340
2.469 -4.289 4.340
2.469 4.289 -4.340
! Formation energy from the elements in eV/f.u.: -0.78
! SG: Immm, No. 71

Number 1: DOS at the Fermi energy 0.546 states/eV per atom, energy -3.224 eV/atom. Number 2: DOS at the Fermi energy 0.925 states/eV per atom, energy -5.051 eV/atom.